1.
Material: Pm6PdRu
Method: DFT, PBE
State: optimized geometry

Cell: 6.9037 6.9537 6.6502 Å, 58.48 80.38 71.36°
Closest atoms and distances in Å follow each position.
Atoms (fractional coordinates):
Pm (0.7440, 0.4434, 0.6493)  1 Ru 2.77, 1 Pd 2.91
Pm (0.7440, 0.0927, 0.3507)  1 Ru 2.77, 1 Pd 2.91
Pm (0.2560, 0.9073, 0.6493)  1 Ru 2.77, 1 Pd 2.91
Pm (0.2560, 0.5566, 0.3507)  1 Ru 2.77, 1 Pd 2.91
Pm (0.7386, 0.7537, 0.0000)  1 Ru 2.77, 1 Pd 2.86
Pm (0.2614, 0.2463, 0.0000)  1 Ru 2.77, 1 Pd 2.86
Pd (0.0000, 0.0000, 0.0000)  6 Pm 2.86-2.91
Ru (0.5000, 0.5000, 0.0000)  6 Pm 2.77

Its formation energy is -197.2 meV/atom. The space group is C2/m. As for the volume: 257.87 Å³ per cell. As for the total energy: -44.5 eV per cell.


2.
Material: Pm3PdRu
Method: DFT, PBE
State: optimized geometry

Cell: 8.3915 7.4362 8.8126 Å, 90.00 72.21 90.00°
Closest atoms and distances in Å follow each position.
Atoms (fractional coordinates):
Pm (0.3964, 0.1545, 0.7749)  2 Ru 2.92-3.05, 3 Pd 2.94-3.13
Pm (0.6036, 0.8455, 0.2251)  2 Ru 2.92-3.05, 3 Pd 2.94-3.13
Pm (0.1036, 0.6545, 0.2251)  2 Ru 2.92-3.05, 3 Pd 2.94-3.13
Pm (0.8964, 0.3455, 0.7749)  2 Ru 2.92-3.05, 3 Pd 2.94-3.13
Pm (0.5087, 0.6858, 0.8529)  1 Ru 2.77, 2 Pd 3.03-3.09
Pm (0.4913, 0.3142, 0.1471)  1 Ru 2.77, 2 Pd 3.03-3.09
Pm (0.9914, 0.1858, 0.1471)  1 Ru 2.77, 2 Pd 3.03-3.09
Pm (0.0086, 0.8142, 0.8529)  1 Ru 2.77, 2 Pd 3.03-3.09
Pm (0.7856, 0.9920, 0.5418)  4 Ru 2.82-3.11, 1 Pd 3.12
Pm (0.2144, 0.0080, 0.4582)  4 Ru 2.82-3.11, 1 Pd 3.12
Pm (0.7144, 0.4919, 0.4582)  4 Ru 2.82-3.11, 1 Pd 3.12
Pm (0.2856, 0.5081, 0.5418)  4 Ru 2.82-3.11, 1 Pd 3.12
Pd (0.6837, 0.0352, 0.9108)  7 Pm 2.94-3.13, 1 Pd 3.05
Pd (0.3163, 0.9648, 0.0892)  7 Pm 2.94-3.13, 1 Pd 3.05
Pd (0.8163, 0.5352, 0.0892)  7 Pm 2.94-3.13, 1 Pd 3.05
Pd (0.1837, 0.4648, 0.9108)  7 Pm 2.94-3.13, 1 Pd 3.05
Ru (0.4712, 0.8152, 0.5713)  6 Pm 2.77-3.05, 1 Ru 3.00
Ru (0.5288, 0.1848, 0.4287)  6 Pm 2.77-3.05, 1 Ru 3.00
Ru (0.0288, 0.3152, 0.4287)  6 Pm 2.77-3.05, 1 Ru 3.00
Ru (0.9712, 0.6848, 0.5713)  6 Pm 2.77-3.05, 1 Ru 3.00

Its formation energy is -440.7 meV/atom. The space group is P2_1/c. As for the volume: 523.61 Å³ per cell. As for the total energy: -123.7 eV per cell.


3.
Material: Pm3Pd2Ru
Method: DFT, PBE
State: optimized geometry

Cell: 5.0204 7.9013 7.2101 Å, 90.00 90.00 71.48°
Closest atoms and distances in Å follow each position.
Atoms (fractional coordinates):
Pm (0.8308, 0.3385, 0.7589)  3 Ru 3.02-3.05, 5 Pd 3.07-3.15
Pm (0.4999, 0.0000, 0.2434)  2 Ru 3.04, 6 Pd 3.06-3.12
Pm (0.1692, 0.6615, 0.2411)  3 Ru 3.02-3.05, 5 Pd 3.07-3.15
Pm (0.8307, 0.3385, 0.2411)  3 Ru 3.02-3.05, 5 Pd 3.07-3.15
Pm (0.1693, 0.6615, 0.7589)  3 Ru 3.02-3.05, 5 Pd 3.07-3.15
Pm (0.5001, 0.0000, 0.7566)  2 Ru 3.04, 6 Pd 3.06-3.12
Pd (0.0000, 0.0000, 0.0000)  8 Pm 3.06-3.07
Pd (0.0000, 0.0000, 0.5000)  8 Pm 3.12-3.15
Pd (0.3338, 0.3323, 0.5000)  8 Pm 3.09-3.13
Pd (0.6662, 0.6677, 0.5000)  8 Pm 3.09-3.13
Ru (0.3341, 0.3318, 0.0000)  8 Pm 3.02-3.05
Ru (0.6659, 0.6682, 0.0000)  8 Pm 3.02-3.05

Its formation energy is -593.0 meV/atom. The space group is Cmmm. As for the volume: 271.19 Å³ per cell. As for the total energy: -74.9 eV per cell.


4.
Material: Pm6PdRu3
Method: DFT, PBE
State: optimized geometry

Cell: 6.7826 9.0737 9.0737 Å, 108.68 90.00 90.00°
Closest atoms and distances in Å follow each position.
Atoms (fractional coordinates):
Pm (0.1490, 0.7244, 0.6510)  3 Ru 2.81-3.12
Pm (0.6490, 0.6510, 0.7244)  3 Ru 2.81-3.12
Pm (0.1988, 0.4691, 0.8830)  3 Ru 2.83-3.08, 1 Pd 2.86
Pm (0.6988, 0.8830, 0.4691)  3 Ru 2.83-3.08, 1 Pd 2.86
Pm (0.2742, 0.9667, 0.0333)  2 Pd 2.81-3.00, 4 Ru 2.98-3.00
Pm (0.6484, 0.2536, 0.7464)  3 Ru 2.87-2.97
Pm (0.1484, 0.7464, 0.2536)  3 Ru 2.87-2.97
Pm (0.7742, 0.0333, 0.9667)  2 Pd 2.81-3.00, 4 Ru 2.98-3.00
Pm (0.1988, 0.1170, 0.5309)  3 Ru 2.83-3.08, 1 Pd 2.86
Pm (0.6988, 0.5309, 0.1170)  3 Ru 2.83-3.08, 1 Pd 2.86
Pm (0.1490, 0.3490, 0.2756)  3 Ru 2.81-3.12
Pm (0.6490, 0.2756, 0.3490)  3 Ru 2.81-3.12
Pd (0.0970, 0.1532, 0.8468)  4 Pm 2.81-3.00, 2 Ru 2.88
Pd (0.5970, 0.8468, 0.1532)  4 Pm 2.81-3.00, 2 Ru 2.88
Ru (0.4464, 0.9712, 0.7332)  6 Pm 2.84-3.08, 1 Pd 2.88, 1 Ru 3.13
Ru (0.9464, 0.7332, 0.9712)  6 Pm 2.84-3.08, 1 Pd 2.88, 1 Ru 3.13
Ru (0.3774, 0.4121, 0.5879)  7 Pm 2.81-3.12
Ru (0.8774, 0.5879, 0.4121)  7 Pm 2.81-3.12
Ru (0.9464, 0.0288, 0.2668)  6 Pm 2.84-3.08, 1 Pd 2.88, 1 Ru 3.13
Ru (0.4464, 0.2668, 0.0288)  6 Pm 2.84-3.08, 1 Pd 2.88, 1 Ru 3.13

Its formation energy is -238.3 meV/atom. The space group is Cmc2_1. As for the volume: 529.00 Å³ per cell. As for the total energy: -127.8 eV per cell.


5.
Material: Pm8PdRu2
Method: DFT, PBE
State: optimized geometry

Cell: 5.0435 6.9759 9.3045 Å, 105.03 105.73 90.00°
Closest atoms and distances in Å follow each position.
Atoms (fractional coordinates):
Pm (0.4045, 0.5403, 0.8089)  1 Pd 3.20, 2 Ru 3.27, 6 Pm 3.45-3.54
Pm (0.6713, 0.9703, 0.3426)  3 Ru 2.86-3.16, 1 Pd 3.13
Pm (0.7976, 0.6806, 0.5951)  1 Ru 2.81
Pm (0.9648, 0.2178, 0.9297)  1 Ru 2.93, 2 Pd 3.10
Pm (0.2024, 0.3194, 0.4049)  1 Ru 2.81
Pm (0.3287, 0.0297, 0.6574)  3 Ru 2.86-3.16, 1 Pd 3.13
Pm (0.5955, 0.4597, 0.1911)  1 Pd 3.20, 2 Ru 3.27, 6 Pm 3.45-3.54
Pm (0.0352, 0.7822, 0.0703)  1 Ru 2.93, 2 Pd 3.10
Pd (0.5000, 0.0000, 0.0000)  8 Pm 3.10-3.20
Ru (0.8107, 0.2877, 0.6214)  3 Pm 2.81-2.93
Ru (0.1893, 0.7123, 0.3786)  3 Pm 2.81-2.93

Its formation energy is -236.0 meV/atom. The space group is C2/m. As for the volume: 303.46 Å³ per cell. As for the total energy: -64.3 eV per cell.


6.
Material: Pm8Pd2Ru3
Method: DFT, PBE
State: optimized geometry

Cell: 4.9511 9.9286 8.6487 Å, 125.05 90.00 90.00°
Closest atoms and distances in Å follow each position.
Atoms (fractional coordinates):
Pm (0.0000, 0.6184, 0.2360)  2 Ru 3.00, 2 Pd 3.10, 1 Pm 3.34
Pm (0.0000, 0.3816, 0.7640)  2 Ru 3.00, 2 Pd 3.10, 1 Pm 3.34
Pm (0.0000, 0.1209, 0.2415)  4 Ru 3.01, 2 Pd 3.08
Pm (0.0000, 0.8791, 0.7585)  4 Ru 3.01, 2 Pd 3.08
Pm (0.5000, 0.6328, 0.7628)  3 Ru 2.99, 2 Pd 3.09-3.11
Pm (0.5000, 0.1294, 0.7622)  3 Ru 2.99, 2 Pd 3.09-3.11
Pm (0.5000, 0.8706, 0.2378)  3 Ru 2.99, 2 Pd 3.09-3.11
Pm (0.5000, 0.3672, 0.2372)  3 Ru 2.99, 2 Pd 3.09-3.11
Pd (0.5000, 0.2505, 0.5009)  8 Pm 3.08-3.11
Pd (0.5000, 0.7495, 0.4991)  8 Pm 3.08-3.11
Ru (0.5000, 0.0000, 0.0000)  8 Pm 2.99-3.01
Ru (0.0000, 0.2490, 0.9999)  8 Pm 2.99-3.01
Ru (0.0000, 0.7510, 0.0001)  8 Pm 2.99-3.01

Its formation energy is -353.4 meV/atom. The space group is Cmmm. As for the volume: 348.06 Å³ per cell. As for the total energy: -80.8 eV per cell.


7.
Material: Pm3Pd2Ru
Method: DFT, PBE
State: optimized geometry

Cell: 3.5201 3.5201 10.9501 Å, 90.00 90.00 90.00°
Closest atoms and distances in Å follow each position.
Atoms (fractional coordinates):
Pm (0.0000, 0.0000, 0.0000)  8 Pd 3.08
Pm (0.0000, 0.0000, 0.6580)  4 Ru 3.03, 4 Pd 3.15
Pm (0.0000, 0.0000, 0.3420)  4 Ru 3.03, 4 Pd 3.15
Pd (0.5000, 0.5000, 0.8336)  8 Pm 3.08-3.15
Pd (0.5000, 0.5000, 0.1664)  8 Pm 3.08-3.15
Ru (0.5000, 0.5000, 0.5000)  8 Pm 3.03

Its formation energy is -604.0 meV/atom. The space group is P4/mmm. As for the volume: 135.68 Å³ per cell. As for the total energy: -37.5 eV per cell.


8.
Material: Pm3PdRu
Method: DFT, PBE
State: optimized geometry

Cell: 5.9721 10.7408 10.2201 Å, 123.89 90.00 90.00°
Closest atoms and distances in Å follow each position.
Atoms (fractional coordinates):
Pm (0.0985, 0.6254, 0.8573)  3 Ru 2.90-2.96, 1 Pd 3.15
Pm (0.9015, 0.3746, 0.1427)  3 Ru 2.90-2.96, 1 Pd 3.15
Pm (0.5985, 0.8746, 0.1427)  3 Ru 2.90-2.96, 1 Pd 3.15
Pm (0.4015, 0.1254, 0.8573)  3 Ru 2.90-2.96, 1 Pd 3.15
Pm (0.6186, 0.4175, 0.8101)  2 Ru 2.76-2.93, 1 Pd 3.04
Pm (0.3814, 0.5825, 0.1899)  2 Ru 2.76-2.93, 1 Pd 3.04
Pm (0.1186, 0.0825, 0.1899)  2 Ru 2.76-2.93, 1 Pd 3.04
Pm (0.8814, 0.9175, 0.8101)  2 Ru 2.76-2.93, 1 Pd 3.04
Pm (0.1262, 0.1888, 0.5910)  1 Ru 2.71, 2 Pd 2.93-3.01
Pm (0.8738, 0.8112, 0.4090)  1 Ru 2.71, 2 Pd 2.93-3.01
Pm (0.6262, 0.3112, 0.4090)  1 Ru 2.71, 2 Pd 2.93-3.01
Pm (0.3738, 0.6888, 0.5910)  1 Ru 2.71, 2 Pd 2.93-3.01
Pd (0.8582, 0.6041, 0.5098)  1 Pd 2.72, 4 Pm 2.93-3.04
Pd (0.1418, 0.3959, 0.4902)  1 Pd 2.72, 4 Pm 2.93-3.04
Pd (0.3582, 0.8959, 0.4902)  1 Pd 2.72, 4 Pm 2.93-3.04
Pd (0.6418, 0.1041, 0.5098)  1 Pd 2.72, 4 Pm 2.93-3.04
Ru (0.1699, 0.3868, 0.9060)  6 Pm 2.71-2.96, 1 Ru 2.92
Ru (0.8301, 0.6132, 0.0940)  6 Pm 2.71-2.96, 1 Ru 2.92
Ru (0.6699, 0.1132, 0.0940)  6 Pm 2.71-2.96, 1 Ru 2.92
Ru (0.3301, 0.8868, 0.9060)  6 Pm 2.71-2.96, 1 Ru 2.92

Its formation energy is -355.8 meV/atom. The space group is P2_1/c. As for the volume: 544.19 Å³ per cell. As for the total energy: -122.0 eV per cell.


9.
Material: Pm5PdRu2
Method: DFT, PBE
State: optimized geometry

Cell: 7.7720 7.7720 8.7325 Å, 116.42 116.42 90.00°
Closest atoms and distances in Å follow each position.
Atoms (fractional coordinates):
Pm (0.5252, 0.6992, 0.7244)  3 Ru 2.87-3.01
Pm (0.8008, 0.9748, 0.2756)  3 Ru 2.87-3.01
Pm (0.0000, 0.0000, 0.0000)  4 Ru 3.01
Pm (0.5000, 0.5000, 0.0000)  4 Ru 3.01
Pm (0.1992, 0.0252, 0.7244)  3 Ru 2.87-3.01
Pm (0.6992, 0.1992, 0.7244)  3 Ru 2.87-3.01
Pm (0.0252, 0.5252, 0.7244)  3 Ru 2.87-3.01
Pm (0.3008, 0.8008, 0.2756)  3 Ru 2.87-3.01
Pm (0.9748, 0.4748, 0.2756)  3 Ru 2.87-3.01
Pm (0.4748, 0.3008, 0.2756)  3 Ru 2.87-3.01
Pd (0.7500, 0.7500, 0.5000)  10 Pm 3.28-3.39
Pd (0.2500, 0.2500, 0.5000)  10 Pm 3.28-3.39
Ru (0.1388, 0.3612, 0.0000)  8 Pm 2.87-3.01, 1 Ru 3.05
Ru (0.6388, 0.1388, 0.0000)  8 Pm 2.87-3.01, 1 Ru 3.05
Ru (0.3612, 0.8612, 0.0000)  8 Pm 2.87-3.01, 1 Ru 3.05
Ru (0.8612, 0.6388, 0.0000)  8 Pm 2.87-3.01, 1 Ru 3.05

Its formation energy is -377.4 meV/atom. The space group is I4/mcm. As for the volume: 409.93 Å³ per cell. As for the total energy: -101.0 eV per cell.


10.
Material: Pm5PdRu4
Method: DFT, PBE
State: optimized geometry

Cell: 3.5099 3.5099 17.5488 Å, 90.00 90.00 90.00°
Closest atoms and distances in Å follow each position.
Atoms (fractional coordinates):
Pm (0.5000, 0.5000, 0.1059)  4 Ru 2.99, 4 Pd 3.10
Pm (0.5000, 0.5000, 0.3029)  8 Ru 3.02-3.07
Pm (0.5000, 0.5000, 0.5000)  8 Ru 3.03
Pm (0.5000, 0.5000, 0.6971)  8 Ru 3.02-3.07
Pm (0.5000, 0.5000, 0.8941)  4 Ru 2.99, 4 Pd 3.10
Pd (0.0000, 0.0000, 0.0000)  8 Pm 3.10
Ru (0.0000, 0.0000, 0.2004)  8 Pm 2.99-3.07
Ru (0.0000, 0.0000, 0.4014)  8 Pm 3.02-3.03
Ru (0.0000, 0.0000, 0.5986)  8 Pm 3.02-3.03
Ru (0.0000, 0.0000, 0.7996)  8 Pm 2.99-3.07

Its formation energy is -281.3 meV/atom. The space group is P4/mmm. As for the volume: 216.20 Å³ per cell. As for the total energy: -68.9 eV per cell.


11.
Material: Pm3PdRu2
Method: DFT, PBE
State: optimized geometry

Cell: 3.5246 3.5246 10.5873 Å, 90.00 90.00 90.00°
Closest atoms and distances in Å follow each position.
Atoms (fractional coordinates):
Pm (0.0000, 0.0000, 0.0000)  8 Ru 3.07
Pm (0.0000, 0.0000, 0.6746)  4 Ru 2.99, 4 Pd 3.10
Pm (0.0000, 0.0000, 0.3254)  4 Ru 2.99, 4 Pd 3.10
Pd (0.5000, 0.5000, 0.5000)  8 Pm 3.10
Ru (0.5000, 0.5000, 0.8310)  8 Pm 2.99-3.07
Ru (0.5000, 0.5000, 0.1690)  8 Pm 2.99-3.07

Its formation energy is -384.4 meV/atom. The space group is P4/mmm. As for the volume: 131.53 Å³ per cell. As for the total energy: -40.3 eV per cell.


12.
Material: PmSbPdRu
Method: DFT, PBE
State: optimized geometry

Cell: 4.8091 4.8091 4.8091 Å, 60.00 60.00 60.00°
Closest atoms and distances in Å follow each position.
Atoms (fractional coordinates):
Sb (0.0000, 0.0000, 0.0000)  4 Ru 2.94, 4 Pd 2.94
Ru (0.7500, 0.7500, 0.7500)  4 Sb 2.94, 4 Pm 2.94
Pd (0.2500, 0.2500, 0.2500)  4 Sb 2.94, 4 Pm 2.94
Pm (0.5000, 0.5000, 0.5000)  4 Pd 2.94, 4 Ru 2.94

The calculation puts the uncorrected formation energy at -421 meV per atom. The space group is F-43m. As for the volume: 78.65 Å³ per cell. As for the total energy: -25.0 eV per cell.